No. 1
Material: ErLu2Tc
Method: DFT, PBE-GGA
State: relaxed

a b c (Å): 3.4019 3.4019 8.6340
angles (deg): 90.00 90.00 90.00
Fractional positions:
Tc 0.5000 0.5000 0.0000
Lu 0.0000 0.0000 0.8140
Lu 0.0000 0.0000 0.1860
Er 0.5000 0.5000 0.5000


No. 2
Material: BaTaNi4
Method: DFT, PBE-GGA
State: relaxed

a b c (Å): 5.0763 5.0763 5.0763
angles (deg): 60.00 60.00 60.00
Fractional positions:
Ba 0.0000 0.0000 0.0000
Ta 0.7500 0.7500 0.7500
Ni 0.3768 0.8695 0.3768
Ni 0.3768 0.3768 0.3768
Ni 0.3768 0.3768 0.8695
Ni 0.8695 0.3768 0.3768


No. 3
Material: TlRe2AsIr
Method: DFT, PBE-GGA
State: relaxed

a b c (Å): 4.5163 5.0852 4.5163
angles (deg): 90.00 90.00 90.00
Fractional positions:
As 0.0000 0.0000 0.0000
Ir 0.5000 0.5000 0.5000
Re 0.5000 0.0000 0.0000
Re 0.0000 0.0000 0.5000
Tl 0.0000 0.5000 0.0000


No. 4
Material: ZnP2Os
Method: DFT, PBE-GGA
State: relaxed

a b c (Å): 4.2848 4.2848 4.2848
angles (deg): 60.00 60.00 60.00
Fractional positions:
P 0.0000 0.0000 0.0000
Os 0.5000 0.5000 0.5000
Zn 0.7500 0.7500 0.7500
P 0.2500 0.2500 0.2500


No. 5
Material: Li2MgNi
Method: DFT, PBE-GGA
State: relaxed

a b c (Å): 4.5814 2.8107 4.7191
angles (deg): 84.39 90.00 90.00
Fractional positions:
Mg 0.5000 0.2500 0.2500
Li 0.0000 0.9706 0.9729
Li 0.0000 0.5294 0.5271
Ni 0.5000 0.7500 0.7500


No. 6
Material: KCa2Os
Method: DFT, PBE-GGA
State: relaxed

a b c (Å): 8.2877 8.2877 8.2917
angles (deg): 60.02 60.02 90.00
Fractional positions:
Ca 0.3750 0.1242 0.7500
Ca 0.8742 0.6250 0.2500
Ca 0.8750 0.1258 0.7500
Ca 0.8758 0.1250 0.2500
K 0.5000 0.5000 0.0000
K 0.2500 0.7500 0.5000
Os 0.0000 0.0000 0.0000
Os 0.7500 0.2500 0.5000


no.,energy of formation (eV per atom),DFT total energy (eV/cell)
1,-0.041,-24.1
2,0.394,-34.5
3,1.988,-30.8
4,0.650,-20.7
5,0.013,-11.2
6,0.903,-25.4